Computed, not measured: a relaxed RbLaNbPdBr crystal at the PBE-GGA level of DFT.

Cell: 4.4453 5.0446 14.6990 Å, 90.00 90.00 90.00°
With the nearest neighbours (Å) after each atom.
Atoms (fractional coordinates):
1 Rb 0.0000 0.0000 0.0000  4 Br 3.37, 1 Pd 3.69
2 Rb 0.0000 0.5000 0.5000  4 Br 3.37, 1 Pd 3.69
3 La 0.5000 0.0000 0.7390  2 Nb 2.89, 1 Br 3.22
4 La 0.5000 0.5000 0.2390  2 Nb 2.89, 1 Br 3.22
5 Nb 0.5000 0.0000 0.3350  2 Pd 2.54, 1 Br 2.72
6 Nb 0.5000 0.5000 0.8350  2 Pd 2.54, 1 Br 2.72
7 Pd 0.0000 0.0000 0.2512  2 Nb 2.54
8 Pd 0.0000 0.5000 0.7512  2 Nb 2.54
9 Br 0.5000 0.0000 0.5198  1 Nb 2.72
10 Br 0.5000 0.5000 0.0198  1 Nb 2.72

Calculated values
Uncorrected energy in eV/atom: -4.7367
Space group: Amm2 (38)
Relative energy among the computed polymorphs in meV per atom: 265
ΔE_f (raw) in eV/atom: -0.171